(1)
This record from the Alexandria database describes an optimized crystal structure of ZrPaBi. The functional is GGA-PBE.

It has space group P-6m2 (No. 187), with a = 5.2810 Å, b = 5.2810 Å, c = 3.2492 Å, α = 90.00°, β = 90.00° and γ = 120.00°. The distinct sites, in fractional coordinates, are Zr at (0.0000, 0.0000, 0.0000), Pa at (0.3333, 0.6667, 0.5000) and Bi at (0.6667, 0.3333, 0.0000).

The calculation puts the calculated total energy at -7.21 eV per atom. As for the crystal system: hexagonal. Its density is 11.241 g cm⁻³. The calculated volume comes out at 26.159 Å³/atom.



(2)
This record from the Alexandria database describes an optimized crystal structure of Dy2Zn12GaCu3. The functional is GGA-PBE.

It has space group R-3m (No. 166, hexagonal axes), with a = 9.2189 Å, b = 9.2189 Å, c = 12.4432 Å, α = 90.00°, β = 90.00° and γ = 120.00°. The distinct sites, in fractional coordinates, are Dy at (0.0000, 0.0000, 0.2486), Zn at (0.0102, 0.5051, 0.7039), Zn at (0.0553, 0.5277, 0.0981), Ga at (0.0000, 0.0000, 0.0000) and Cu at (0.0000, 0.5000, 0.5000).

The calculation puts the calculated total energy at -2.22 eV per atom. As for the crystal system: trigonal. Its density is 7.453 g cm⁻³. The calculated volume comes out at 16.960 Å³/atom.



(3)
This record from the Alexandria database describes an optimized crystal structure of NdGdZnCd. The functional is GGA-PBE.

It has space group F-43m (No. 216), with a = 7.4746 Å, b = 7.4746 Å, c = 7.4746 Å, α = 90.00°, β = 90.00° and γ = 90.00°. The distinct sites, in fractional coordinates, are Nd at (0.0000, 0.0000, 0.0000), Gd at (0.0000, 0.0000, 0.5000), Zn at (0.2500, 0.2500, 0.2500) and Cd at (0.2500, 0.2500, 0.7500).

The calculation puts the calculated total energy at -5.58 eV per atom. As for the crystal system: cubic. Its density is 7.624 g cm⁻³. The calculated volume comes out at 26.101 Å³/atom.



(4)
This record from the Alexandria database describes an optimized crystal structure of YZn2N. The functional is GGA-PBE.

It has space group I-42d (No. 122), with a = 7.4813 Å, b = 7.4813 Å, c = 4.7068 Å, α = 90.00°, β = 90.00° and γ = 90.00°. The distinct sites, in fractional coordinates, are Y at (0.0000, 0.0000, 0.0000), Zn at (0.1753, 0.2500, 0.6250) and N at (0.0000, 0.0000, 0.5000).

The calculation puts the calculated total energy at -4.53 eV per atom. As for the crystal system: tetragonal. Its density is 5.893 g cm⁻³. The calculated volume comes out at 16.465 Å³/atom.



(5)
This record from the Alexandria database describes an optimized crystal structure of Cu2Pd2Cl7. The functional is GGA-PBE.

It has space group C2/m (No. 12), with a = 8.2094 Å, b = 10.8930 Å, c = 6.3202 Å, α = 90.00°, β = 96.00° and γ = 90.00°. The distinct sites, in fractional coordinates, are Cu at (0.2420, 0.0000, 0.0857), Pd at (0.0000, 0.1592, 0.5000), Cl at (0.0000, 0.5000, 0.0000), Cl at (0.1457, 0.0000, 0.7382) and Cl at (0.2102, 0.1733, 0.2775).

The calculation puts the calculated total energy at -3.20 eV per atom. As for the crystal system: monoclinic. Its density is 3.475 g cm⁻³. The calculated volume comes out at 25.549 Å³/atom.



(6)
This record from the Alexandria database describes an optimized crystal structure of LiLa4Pr5. The functional is GGA-PBE.

It has space group P4/mmm (No. 123), with a = 3.7381 Å, b = 3.7381 Å, c = 24.9900 Å, α = 90.00°, β = 90.00° and γ = 90.00°. The distinct sites, in fractional coordinates, are Li at (0.0000, 0.0000, 0.0000), La at (0.0000, 0.0000, 0.1843), La at (0.0000, 0.0000, 0.3951), Pr at (0.5000, 0.5000, 0.0824), Pr at (0.5000, 0.5000, 0.2898) and Pr at (0.5000, 0.5000, 0.5000).

The calculation puts the calculated total energy at -4.53 eV per atom. As for the crystal system: tetragonal. Its density is 6.025 g cm⁻³. The calculated volume comes out at 34.920 Å³/atom.



(7)
This record from the Alexandria database describes an optimized crystal structure of Se3Br. The functional is GGA-PBE.

It has space group Cmcm (No. 63), with a = 7.2879 Å, b = 16.5209 Å, c = 3.9496 Å, α = 90.00°, β = 90.00° and γ = 90.00°. The distinct sites, in fractional coordinates, are Se at (0.0000, 0.1728, 0.2500), Se at (0.1791, 0.1109, 0.7500) and Br at (0.0000, 0.3889, 0.7500).

The calculation puts the calculated total energy at -2.84 eV per atom. As for the crystal system: orthorhombic. Its density is 4.425 g cm⁻³. The calculated volume comes out at 29.722 Å³/atom.



(8)
This record from the Alexandria database describes an optimized crystal structure of CeSc2Ir. The functional is GGA-PBE.

It has space group Pnma (No. 62), with a = 6.9930 Å, b = 8.8579 Å, c = 6.0824 Å, α = 90.00°, β = 90.00° and γ = 90.00°. The distinct sites, in fractional coordinates, are Ce at (0.0356, 0.2500, 0.1312), Sc at (0.1761, 0.0618, 0.6568) and Ir at (0.1228, 0.7500, 0.4334).

The calculation puts the calculated total energy at -7.39 eV per atom. As for the crystal system: orthorhombic. Its density is 7.444 g cm⁻³. The calculated volume comes out at 23.547 Å³/atom.